# Ba2MgI, optimized geometry, DFT PBE
data_Ba2MgI
_chemical_formula_sum 'Ba2 Mg1 I1'
_cell_length_a 4.6455
_cell_length_b 4.6455
_cell_length_c 10.4406
_cell_angle_alpha 77.15
_cell_angle_beta 77.15
_cell_angle_gamma 60.00
_space_group_name_H-M_alt 'P 1'
_space_group_IT_number 1
_space_group_name_Hall 'P 1'
loop_
_atom_site_label
_atom_site_type_symbol
_atom_site_fract_x
_atom_site_fract_y
_atom_site_fract_z
I1 I 0.4995 0.4995 0.5014
Mg1 Mg 0.6670 0.6670 0.9990
Ba1 Ba 0.2515 0.2515 0.2456
Ba2 Ba 0.0820 0.0820 0.7540
# Formation energy without anion corrections: -2.3 eV/f.u.